# 1
Material: ThGaBr2
Method: DFT, PBE
State: relaxed

Cell: 10.389 10.389 10.389 Å, 21.25 21.25 21.25°
Positions (direct):
Th 0.000 0.000 0.000
Ga 0.500 0.500 0.500
Br 0.094 0.094 0.094
Br 0.906 0.906 0.906

Space group = R-3m
ΔE_f (raw) = -0.489 eV per atom

# 2
Material: Ce2DyMg
Method: DFT, PBE
State: relaxed

Cell: 3.307 3.307 10.386 Å, 90.00 90.00 90.00°
Positions (direct):
Ce 0.000 0.000 0.242
Ce 0.000 0.000 0.758
Dy 0.500 0.500 0.500
Mg 0.500 0.500 0.000

Space group = P4/mmm
Formation energy = 0.381 eV per formula unit

# 3
Material: La6Tm5Sc
Method: DFT, PBE
State: relaxed

Cell: 9.564 9.564 5.222 Å, 105.79 105.79 60.58°
Positions (direct):
La 0.081 0.587 0.334
La 0.244 0.756 0.000
La 0.413 0.919 0.666
La 0.587 0.081 0.334
La 0.756 0.244 0.000
La 0.919 0.413 0.666
Tm 0.168 0.168 0.168
Tm 0.335 0.335 0.835
Tm 0.500 0.500 0.500
Tm 0.665 0.665 0.165
Tm 0.832 0.832 0.832
Sc 0.000 0.000 0.500

Space group = C2/m
Formation energy = 0.394 eV per formula unit

# 4
Material: MgSb2IO
Method: DFT, PBE
State: relaxed

Cell: 5.403 5.403 5.346 Å, 90.00 90.00 90.00°
Positions (direct):
Mg 0.000 0.000 0.000
Sb 0.000 0.500 0.000
Sb 0.500 0.000 0.000
I 0.000 0.000 0.500
O 0.500 0.500 0.500

Space group = P4/mmm
ΔE_f (raw) = 0.855 eV per atom

# 5
Material: SrTc2Mo
Method: DFT, PBE
State: relaxed

Cell: 4.990 4.990 5.980 Å, 104.42 104.42 36.28°
Positions (direct):
Sr 0.000 0.000 0.000
Tc 0.215 0.215 0.647
Tc 0.785 0.785 0.353
Mo 0.500 0.500 0.500

Space group = C2/m
Formation energy = 2.585 eV per formula unit

# 6
Material: Cs2HfRuI6
Method: DFT, PBE
State: relaxed

Cell: 8.208 8.208 8.208 Å, 119.96 119.96 90.07°
Positions (direct):
Cs 0.250 0.750 0.500
Cs 0.750 0.250 0.500
Hf 0.000 0.000 0.000
Ru 0.500 0.500 0.000
I 0.249 0.249 0.000
I 0.249 0.249 0.498
I 0.249 0.751 0.000
I 0.751 0.249 0.000
I 0.751 0.751 0.000
I 0.751 0.751 0.502

Space group = I4/mmm
ΔE_f (raw) = -0.669 eV per atom

Please write out number 4 again, unchanged.
Material: MgSb2IO
Method: DFT, PBE
State: relaxed

Cell: 5.403 5.403 5.346 Å, 90.00 90.00 90.00°
Positions (direct):
Mg 0.000 0.000 0.000
Sb 0.000 0.500 0.000
Sb 0.500 0.000 0.000
I 0.000 0.000 0.500
O 0.500 0.500 0.500

Space group = P4/mmm
ΔE_f (raw) = 0.855 eV per atom